[1]
VASP calculation (GGA-PBE) on ZrFeSbRu2 after structural relaxation.

Lattice parameters (Å, degrees): 4.466 4.466 4.729 90.00 90.00 90.00
Fractional coordinates of all 5 atoms:
Zr  0.000  0.000  0.000
Fe  0.000  0.000  0.500
Sb  0.500  0.500  0.000
Ru  0.000  0.500  0.500
Ru  0.500  0.000  0.500

Properties
Formation energy (no corrections), eV/atom: 0.574
Fermi-level density of states, states/eV/f.u.: 5.33
Total magnetization, μB/atom: 0.0000
Space-group type: P4/mmm

***

[2]
VASP calculation (GGA-PBE) on ScFe2Ru after structural relaxation.

Lattice parameters (Å, degrees): 5.578 5.578 5.578 102.25 102.25 125.15
Fractional coordinates of all 8 atoms:
Sc  0.000  0.000  0.000
Sc  0.750  0.250  0.500
Fe  0.157  0.625  0.032
Fe  0.375  0.407  0.532
Fe  0.593  0.125  0.968
Fe  0.875  0.843  0.468
Ru  0.250  0.750  0.500
Ru  0.500  0.500  0.000

Properties
Total energy, eV/atom: -7.83
Fermi-level density of states, states/eV/f.u.: 3.71
Total magnetization, μB/atom: 1.2801
Space-group type: I-42d

***

[3]
VASP calculation (GGA-PBE) on ScFeRu2 after structural relaxation.

Lattice parameters (Å, degrees): 8.895 8.895 8.895 18.18 18.18 18.18
Fractional coordinates of all 4 atoms:
Sc  0.000  0.000  0.000
Fe  0.752  0.752  0.752
Ru  0.244  0.244  0.244
Ru  0.496  0.496  0.496

Properties
Total energy, eV/atom: -8.10
Fermi-level density of states, states/eV/f.u.: 5.53
Total magnetization, μB/atom: 0.4958
Space-group type: R3m

***

[4]
VASP calculation (GGA-PBE) on ScFeRu2 after structural relaxation.

Lattice parameters (Å, degrees): 4.336 4.336 3.123 90.00 90.00 90.00
Fractional coordinates of all 4 atoms:
Sc  0.000  0.000  0.000
Fe  0.500  0.500  0.000
Ru  0.000  0.500  0.500
Ru  0.500  0.000  0.500

Properties
Total energy, eV/atom: -8.52
Fermi-level density of states, states/eV/f.u.: 2.63
Total magnetization, μB/atom: 0.7932
Space-group type: P4/mmm